# 1
This record from Alexandria via LeMat-Bulk describes an optimized crystal structure of KAl2W. The functional is GGA-PBE.

Results
Total DFT energy (no corrections)   -17.48 eV for the cell shown
Space-group type   No. 139
Total magnetic moment   1.28 μB/cell
N(E_F)   1.94 states/eV/cell
E_form   391 kJ/mol of formula units
Volume   78 Å³ per cell

Cell lengths 5.052, 5.052, 5.052 Å; angles 127.61, 127.61, 77.26 degrees
Element x y z (fractional)
Al (0.500, 0.500, 0.000)
Al (0.000, 0.000, 0.000)
W (0.750, 0.250, 0.500)
K (0.250, 0.750, 0.500)

---

# 2
This record from Alexandria via LeMat-Bulk describes an optimized crystal structure of KAl2W. The functional is GGA-PBE.

Results
Total DFT energy (no corrections)   -34.18 eV for the cell shown
Space-group type   No. 141
Total magnetic moment   5.17 μB/cell
N(E_F)   5.45 states/eV/cell
E_form   429 kJ/mol of formula units
Volume   263 Å³ per cell

Cell lengths 5.479, 5.479, 9.576 Å; angles 73.38, 73.38, 90.00 degrees
Element x y z (fractional)
W (0.000, 0.000, 0.000)
K (0.500, 0.500, 0.000)
Al (0.875, 0.125, 0.250)
Al (0.375, 0.125, 0.750)
W (0.750, 0.250, 0.500)
Al (0.875, 0.125, 0.750)
K (0.250, 0.750, 0.500)
Al (0.875, 0.625, 0.250)

---

# 3
This record from Alexandria via LeMat-Bulk describes an optimized crystal structure of KAl2W. The functional is GGA-PBE.

Results
Total DFT energy (no corrections)   -19.09 eV for the cell shown
Space-group type   No. 8
Total magnetic moment   0.00 μB/cell
N(E_F)   2.94 states/eV/cell
E_form   236 kJ/mol of formula units
Volume   100 Å³ per cell

Cell lengths 4.881, 4.881, 7.709 Å; angles 85.68, 85.68, 32.95 degrees
Element x y z (fractional)
K (0.497, 0.497, 0.488)
Al (0.003, 0.003, 0.044)
Al (0.732, 0.732, 0.841)
W (0.268, 0.268, 0.126)

---

# 4
This record from Alexandria via LeMat-Bulk describes an optimized crystal structure of KAl2W. The functional is GGA-PBE.

Results
Total DFT energy (no corrections)   -20.15 eV for the cell shown
Space-group type   No. 47
Total magnetic moment   0.00 μB/cell
N(E_F)   3.60 states/eV/cell
E_form   134 kJ/mol of formula units
Volume   87 Å³ per cell

Cell lengths 3.835, 2.845, 8.467 Å; angles 70.35, 90.00, 90.00 degrees
Element x y z (fractional)
W (0.500, 0.750, 0.750)
Al (0.000, 0.080, 0.920)
Al (0.000, 0.420, 0.580)
K (0.500, 0.250, 0.250)

---

# 5
This record from Alexandria via LeMat-Bulk describes an optimized crystal structure of KAlW2. The functional is GGA-PBE.

Results
Total DFT energy (no corrections)   -28.30 eV for the cell shown
Space-group type   No. 35
Total magnetic moment   0.00 μB/cell
N(E_F)   2.47 states/eV/cell
E_form   236 kJ/mol of formula units
Volume   78 Å³ per cell

Cell lengths 2.816, 2.816, 10.455 Å; angles 90.00, 90.00, 109.66 degrees
Element x y z (fractional)
Al (0.000, 0.000, 0.460)
W (0.000, 0.000, 0.045)
K (0.500, 0.500, 0.745)
W (0.500, 0.500, 0.250)

---

# 6
This record from Alexandria via LeMat-Bulk describes an optimized crystal structure of KAlW2. The functional is GGA-PBE.

Results
Total DFT energy (no corrections)   -28.21 eV for the cell shown
Space-group type   No. 99
Total magnetic moment   0.00 μB/cell
N(E_F)   2.64 states/eV/cell
E_form   245 kJ/mol of formula units
Volume   90 Å³ per cell

Cell lengths 3.247, 3.247, 8.509 Å; angles 90.00, 90.00, 90.00 degrees
Element x y z (fractional)
W (0.500, 0.500, 0.244)
Al (0.000, 0.000, 0.421)
K (0.500, 0.500, 0.744)
W (0.000, 0.000, 0.092)